1.
{
  "formula": "Mn2TlSb",
  "functional": "GGA-PBE",
  "state": "relaxed",
  "e_tot_ev_per_atom": -5.82,
  "relative_energy_ev_per_atom": 0.066,
  "raw_formation_energy_ev_per_atom": 0.390,
  "lattice_angstrom": [[3.6500, 0.0000, 0.0000], [-1.8250, 3.1610, 0.0000], [0.0000, 0.0000, 22.6895]],
  "species": ["Mn", "Mn", "Mn", "Mn", "Mn", "Mn", "Tl", "Tl", "Tl", "Sb", "Sb", "Sb"],
  "fractional_positions": [[0.0000, 0.0000, 0.2449], [0.0000, 0.0000, 0.7551], [0.3333, 0.6667, 0.4217], [0.3333, 0.6667, 0.9116], [0.6667, 0.3333, 0.0884], [0.6667, 0.3333, 0.5783], [0.0000, 0.0000, 0.0000], [0.3333, 0.6667, 0.6667], [0.6667, 0.3333, 0.3333], [0.0000, 0.0000, 0.5000], [0.3333, 0.6667, 0.1667], [0.6667, 0.3333, 0.8333]]
}



2.
{
  "formula": "Mn2TlSb",
  "functional": "GGA-PBE",
  "state": "relaxed",
  "e_tot_ev_per_atom": -5.51,
  "relative_energy_ev_per_atom": 0.368,
  "raw_formation_energy_ev_per_atom": 0.693,
  "lattice_angstrom": [[7.0536, 0.0000, 0.0000], [0.0000, 7.0536, 0.0000], [0.0000, 0.0000, 7.0536]],
  "species": ["Mn", "Mn", "Mn", "Mn", "Mn", "Mn", "Mn", "Mn", "Tl", "Tl", "Tl", "Tl", "Sb", "Sb", "Sb", "Sb"],
  "fractional_positions": [[0.0000, 0.0000, 0.0000], [0.0000, 0.5000, 0.5000], [0.2500, 0.2500, 0.2500], [0.2500, 0.7500, 0.7500], [0.5000, 0.0000, 0.5000], [0.5000, 0.5000, 0.0000], [0.7500, 0.2500, 0.7500], [0.7500, 0.7500, 0.2500], [0.2500, 0.2500, 0.7500], [0.2500, 0.7500, 0.2500], [0.7500, 0.2500, 0.2500], [0.7500, 0.7500, 0.7500], [0.0000, 0.0000, 0.5000], [0.0000, 0.5000, 0.0000], [0.5000, 0.0000, 0.0000], [0.5000, 0.5000, 0.5000]]
}



3.
{
  "formula": "MnTlSb2",
  "functional": "GGA-PBE",
  "state": "relaxed",
  "e_tot_ev_per_atom": -4.49,
  "relative_energy_ev_per_atom": 0.410,
  "raw_formation_energy_ev_per_atom": 0.450,
  "lattice_angstrom": [[7.4446, 0.0000, 0.0000], [0.0000, 7.4446, 0.0000], [0.0000, 0.0000, 7.4446]],
  "species": ["Mn", "Mn", "Mn", "Mn", "Tl", "Tl", "Tl", "Tl", "Sb", "Sb", "Sb", "Sb", "Sb", "Sb", "Sb", "Sb"],
  "fractional_positions": [[0.0000, 0.0000, 0.0000], [0.0000, 0.5000, 0.5000], [0.5000, 0.0000, 0.5000], [0.5000, 0.5000, 0.0000], [0.2500, 0.2500, 0.2500], [0.2500, 0.7500, 0.7500], [0.7500, 0.2500, 0.7500], [0.7500, 0.7500, 0.2500], [0.0000, 0.0000, 0.5000], [0.0000, 0.5000, 0.0000], [0.2500, 0.2500, 0.7500], [0.2500, 0.7500, 0.2500], [0.5000, 0.0000, 0.0000], [0.5000, 0.5000, 0.5000], [0.7500, 0.2500, 0.2500], [0.7500, 0.7500, 0.7500]]
}



4.
{
  "formula": "MnTlSb4",
  "functional": "GGA-PBE",
  "state": "relaxed",
  "e_tot_ev_per_atom": -4.24,
  "raw_formation_energy_ev_per_atom": 0.429,
  "lattice_angstrom": [[0.0000, 4.4501, 4.4501], [4.4501, 0.0000, 4.4501], [4.4501, 4.4501, 0.0000]],
  "species": ["Mn", "Tl", "Sb", "Sb", "Sb", "Sb"],
  "fractional_positions": [[0.0000, 0.0000, 0.0000], [0.2500, 0.2500, 0.2500], [0.1233, 0.6256, 0.6256], [0.6256, 0.1233, 0.6256], [0.6256, 0.6256, 0.1233], [0.6256, 0.6256, 0.6256]]
}



5.
{
  "formula": "Mn2TlSb",
  "functional": "GGA-PBE",
  "state": "relaxed",
  "e_tot_ev_per_atom": -5.88,
  "relative_energy_ev_per_atom": 0.000,
  "raw_formation_energy_ev_per_atom": 0.325,
  "lattice_angstrom": [[3.0680, 0.0000, 0.0000], [0.0000, 3.0680, 0.0000], [0.0000, 0.0000, 8.6154]],
  "species": ["Mn", "Mn", "Tl", "Sb"],
  "fractional_positions": [[0.0000, 0.0000, 0.0000], [0.5000, 0.5000, 0.1476], [0.5000, 0.5000, 0.7501], [0.0000, 0.0000, 0.3498]]
}



6.
{
  "formula": "Mn4TlSb",
  "functional": "GGA-PBE",
  "state": "relaxed",
  "e_tot_ev_per_atom": -6.73,
  "raw_formation_energy_ev_per_atom": 0.469,
  "lattice_angstrom": [[0.0000, 3.6545, 3.6545], [3.6545, 0.0000, 3.6545], [3.6545, 3.6545, 0.0000]],
  "species": ["Mn", "Mn", "Mn", "Mn", "Tl", "Sb"],
  "fractional_positions": [[0.1247, 0.1247, 0.1247], [0.1247, 0.1247, 0.6260], [0.1247, 0.6260, 0.1247], [0.6260, 0.1247, 0.1247], [0.5000, 0.5000, 0.5000], [0.7500, 0.7500, 0.7500]]
}



7.
{
  "formula": "MnTlSb2",
  "functional": "GGA-PBE",
  "state": "relaxed",
  "e_tot_ev_per_atom": -4.82,
  "relative_energy_ev_per_atom": 0.085,
  "raw_formation_energy_ev_per_atom": 0.126,
  "lattice_angstrom": [[3.3537, 0.0000, 0.0000], [0.0000, 3.4731, 0.0000], [0.0000, 0.0000, 18.1142]],
  "species": ["Mn", "Mn", "Tl", "Tl", "Sb", "Sb", "Sb", "Sb"],
  "fractional_positions": [[0.0000, 0.0000, 0.0000], [0.5000, 0.5000, 0.5000], [0.0000, 0.5000, 0.2641], [0.5000, 0.0000, 0.7641], [0.0000, 0.0000, 0.4309], [0.0000, 0.5000, 0.6189], [0.5000, 0.0000, 0.1189], [0.5000, 0.5000, 0.9309]]
}



8.
{
  "formula": "Mn2TlSb",
  "functional": "GGA-PBE",
  "state": "relaxed",
  "e_tot_ev_per_atom": -5.82,
  "relative_energy_ev_per_atom": 0.061,
  "raw_formation_energy_ev_per_atom": 0.385,
  "lattice_angstrom": [[4.0724, 0.0000, 0.0000], [0.0000, 4.0724, 0.0000], [0.0000, 0.0000, 9.6970]],
  "species": ["Mn", "Mn", "Mn", "Mn", "Tl", "Tl", "Sb", "Sb"],
  "fractional_positions": [[0.0000, 0.0000, 0.0000], [0.0000, 0.5000, 0.2500], [0.5000, 0.0000, 0.7500], [0.5000, 0.5000, 0.5000], [0.0000, 0.0000, 0.5000], [0.5000, 0.5000, 0.0000], [0.0000, 0.5000, 0.7500], [0.5000, 0.0000, 0.2500]]
}



9.
{
  "formula": "MnTlSb2",
  "functional": "GGA-PBE",
  "state": "relaxed",
  "e_tot_ev_per_atom": -4.72,
  "relative_energy_ev_per_atom": 0.185,
  "raw_formation_energy_ev_per_atom": 0.226,
  "lattice_angstrom": [[3.1950, 0.0000, 0.0000], [0.0000, 5.1729, 0.0000], [0.0000, 0.0000, 12.2662]],
  "species": ["Mn", "Mn", "Tl", "Tl", "Sb", "Sb", "Sb", "Sb"],
  "fractional_positions": [[0.0000, 0.0000, 0.0000], [0.5000, 0.5000, 0.5000], [0.0000, 0.0000, 0.5000], [0.5000, 0.5000, 0.0000], [0.0000, 0.5000, 0.3164], [0.0000, 0.5000, 0.6836], [0.5000, 0.0000, 0.1836], [0.5000, 0.0000, 0.8164]]
}



10.
{
  "formula": "MnTlSb2",
  "functional": "GGA-PBE",
  "state": "relaxed",
  "e_tot_ev_per_atom": -4.90,
  "relative_energy_ev_per_atom": 0.005,
  "raw_formation_energy_ev_per_atom": 0.046,
  "lattice_angstrom": [[7.1115, 0.0000, 0.0000], [0.0000, 4.0962, 0.0000], [-2.3601, 0.0000, 7.3936]],
  "species": ["Mn", "Mn", "Tl", "Tl", "Sb", "Sb", "Sb", "Sb"],
  "fractional_positions": [[0.0000, 0.0000, 0.0000], [0.5000, 0.5000, 0.0000], [0.0000, 0.5000, 0.5000], [0.5000, 0.0000, 0.5000], [0.2258, 0.5000, 0.1766], [0.2742, 0.0000, 0.8234], [0.7258, 0.0000, 0.1766], [0.7742, 0.5000, 0.8234]]
}



11.
{
  "formula": "MnTlSb2",
  "functional": "GGA-PBE",
  "state": "relaxed",
  "e_tot_ev_per_atom": -4.73,
  "relative_energy_ev_per_atom": 0.171,
  "raw_formation_energy_ev_per_atom": 0.211,
  "lattice_angstrom": [[3.4745, 0.0000, 0.0000], [0.0000, 3.4745, 0.0000], [0.0000, 0.0000, 9.6579]],
  "species": ["Mn", "Tl", "Sb", "Sb"],
  "fractional_positions": [[0.0000, 0.0000, 0.0000], [0.5000, 0.5000, 0.5231], [0.0000, 0.0000, 0.2788], [0.5000, 0.5000, 0.8835]]
}



12.
{
  "formula": "MnTlSb2",
  "functional": "GGA-PBE",
  "state": "relaxed",
  "e_tot_ev_per_atom": -4.57,
  "relative_energy_ev_per_atom": 0.335,
  "raw_formation_energy_ev_per_atom": 0.375,
  "lattice_angstrom": [[4.4038, 0.0000, 0.0000], [0.0000, 4.4038, 0.0000], [0.0000, 0.0000, 10.4066]],
  "species": ["Mn", "Mn", "Tl", "Tl", "Sb", "Sb", "Sb", "Sb"],
  "fractional_positions": [[0.0000, 0.0000, 0.0000], [0.5000, 0.5000, 0.5000], [0.0000, 0.5000, 0.2500], [0.5000, 0.0000, 0.7500], [0.0000, 0.0000, 0.5000], [0.0000, 0.5000, 0.7500], [0.5000, 0.0000, 0.2500], [0.5000, 0.5000, 0.0000]]
}